# 1
Computed, not measured: an optimized crystal structure of TiTl3Te at the GGA-PBE level of DFT.

Cell and atoms, written as POSCAR:
```
TiTl3Te
1.0
-4.4878 2.9428 -2.7395
-4.0041 -2.9002 3.4440
0.3635 4.3857 4.1158
Te Tl Ti
1 3 1
Direct
0.0000 0.0000 0.0000
0.0000 0.0000 0.5000
0.0000 0.5000 0.0000
0.5000 0.0000 0.0000
0.5000 0.5000 0.5000
```

Properties
Offset from the most stable computed form ... 634 meV/atom
Crystal system ... cubic

=====

# 2
Computed, not measured: an optimized crystal structure of TbYAlOs at the GGA-PBE level of DFT.

Cell and atoms, written as POSCAR:
```
TbYAlOs
1.0
4.9585 0.0000 0.0000
2.4793 4.2942 0.0000
2.4793 1.4314 4.0486
Al Os Tb Y
1 1 1 1
Direct
0.5000 0.5000 0.5000
0.0000 0.0000 0.0000
0.2500 0.2500 0.2500
0.7500 0.7500 0.7500
```

Properties
Formation enthalpy at 0 K ... -254 meV per atom
Crystal system ... cubic

=====

# 3
Computed, not measured: an optimized crystal structure of LaCr2Ag at the GGA-PBE level of DFT.

Cell and atoms, written as POSCAR:
```
LaCr2Ag
1.0
-2.1737 -0.4672 1.6750
1.7255 -0.2482 2.1702
-0.7023 8.9340 1.5803
Ag Cr La
1 2 1
Direct
0.5000 0.5000 0.7500
0.0000 0.0000 0.5287
0.0000 0.0000 0.9713
0.5000 0.5000 0.2500
```

Properties
Offset from the most stable computed form ... 705 meV/atom
Formation enthalpy at 0 K ... 1000 meV per atom
Crystal system ... tetragonal

=====

# 4
Computed, not measured: an optimized crystal structure of PmPuBi2 at the GGA-PBE level of DFT.

Cell and atoms, written as POSCAR:
```
PmPuBi2
1.0
-0.3160 4.0645 3.7714
-0.3011 -1.2437 5.4042
4.3195 1.0374 3.3330
Bi Pm Pu
2 1 1
Direct
0.2500 0.2500 0.2500
0.7500 0.7500 0.7500
0.5000 0.5000 0.5000
0.0000 0.0000 0.0000
```

Properties
Offset from the most stable computed form ... 137 meV/atom
Formation enthalpy at 0 K ... -493 meV per atom
Crystal system ... cubic

=====

# 5
Computed, not measured: an optimized crystal structure of Be2CrFe at the GGA-PBE level of DFT.

Cell and atoms, written as POSCAR:
```
Be2CrFe
1.0
7.8310 0.0052 0.0030
7.4506 2.4111 0.0030
7.4506 1.1780 2.1037
Fe Cr Be
1 1 2
Direct
0.7479 0.7479 0.7479
0.4995 0.4995 0.4995
0.2521 0.2521 0.2521
0.0005 0.0005 0.0005
```

Properties
Offset from the most stable computed form ... 290 meV/atom
Formation enthalpy at 0 K ... 144 meV per atom
Crystal system ... trigonal

=====

# 6
Computed, not measured: an optimized crystal structure of LiNiCl2 at the GGA-PBE level of DFT.

Cell and atoms, written as POSCAR:
```
LiNiCl2
1.0
-1.3504 4.8212 -3.5335
-1.4678 1.8728 -5.6472
-4.2736 2.6701 -3.4871
Cl Ni Li
2 1 1
Direct
0.4973 0.4973 0.4973
0.0027 0.0027 0.0027
0.7500 0.7500 0.7500
0.2500 0.2500 0.2500
```

Properties
Offset from the most stable computed form ... 102 meV/atom
Crystal system ... trigonal

=====

# 7
Computed, not measured: an optimized crystal structure of ZrAgI at the GGA-PBE level of DFT.

Cell and atoms, written as POSCAR:
```
ZrAgI
1.0
-3.2867 -1.3108 -0.2897
1.5736 0.1603 3.1762
-5.8001 14.0648 2.1636
I Zr Ag
2 2 2
Direct
0.3289 0.6577 0.2253
0.3289 0.6577 0.7747
0.6622 0.3243 0.3604
0.6622 0.3243 0.6396
0.3284 0.6568 0.5000
0.3562 0.7123 0.0000
```

Properties
Crystal system ... orthorhombic

=====

# 8
Computed, not measured: an optimized crystal structure of Al3SbS at the GGA-PBE level of DFT.

Cell and atoms, written as POSCAR:
```
Al3SbS
1.0
-0.7377 -3.2299 -3.4919
4.2672 1.1118 -1.9299
2.1015 -3.3914 2.6929
Sb Al S
1 3 1
Direct
0.5000 0.5000 0.5000
0.0000 0.5000 0.0000
0.0000 0.0000 0.5000
0.5000 0.0000 0.0000
0.0000 0.0000 0.0000
```

Properties
Offset from the most stable computed form ... 0 meV/atom
Crystal system ... cubic

=====

# 9
Computed, not measured: an optimized crystal structure of Pr2Th2N3 at the GGA-PBE level of DFT.

Cell and atoms, written as POSCAR:
```
Pr2Th2N3
1.0
6.7183 -0.3903 2.0574
1.7894 9.5575 2.7959
-0.8188 2.0119 9.8817
Th N Pr
8 12 8
Direct
0.0320 0.2714 0.3630
0.1380 0.5952 0.0539
0.3620 0.9461 0.4048
0.5320 0.3630 0.2714
0.9680 0.7286 0.6370
0.6380 0.0539 0.5952
0.4680 0.6370 0.7286
0.8620 0.4048 0.9461
0.8422 0.5092 0.6694
0.6578 0.3306 0.4908
0.8572 0.8858 0.7636
0.3422 0.6694 0.5092
0.6702 0.8611 0.5149
0.3572 0.7636 0.8858
0.6428 0.2364 0.1142
0.1578 0.4908 0.3306
0.1428 0.1142 0.2364
0.1702 0.5149 0.8611
0.8298 0.4851 0.1389
0.3298 0.1389 0.4851
0.7500 0.2719 0.7281
0.7500 0.5928 0.4072
0.6438 0.7543 0.9852
0.8562 0.0148 0.2457
0.2500 0.4072 0.5928
0.2500 0.7281 0.2719
0.3562 0.2457 0.0148
0.1438 0.9852 0.7543
```

Properties
Crystal system ... monoclinic

=====

# 10
Computed, not measured: an optimized crystal structure of Sm5Al3 at the GGA-PBE level of DFT.

Cell and atoms, written as POSCAR:
```
Sm5Al3
1.0
-0.0588 5.4194 2.1674
1.7351 -0.4361 8.9974
8.4862 3.4446 -0.5228
Sm Al
10 6
Direct
0.7807 0.3040 0.1346
0.4153 0.3040 0.8654
0.2807 0.1346 0.3040
0.2500 0.5000 0.5000
0.0847 0.1346 0.6960
0.9153 0.8654 0.3040
0.2193 0.6960 0.8654
0.7193 0.8654 0.6960
0.5847 0.6960 0.1346
0.7500 0.5000 0.5000
0.1608 0.5000 0.1784
0.3392 0.8216 0.5000
0.7500 0.0000 0.0000
0.8392 0.5000 0.8216
0.6608 0.1784 0.5000
0.2500 0.0000 0.0000
```

Properties
Offset from the most stable computed form ... 0 meV/atom
Formation enthalpy at 0 K ... -274 meV per atom
Crystal system ... tetragonal

=====

# 11
Computed, not measured: an optimized crystal structure of Sr2CeZrO6 at the GGA-PBE level of DFT.

Cell and atoms, written as POSCAR:
```
Sr2CeZrO6
1.0
0.0000 4.3129 4.3129
4.3129 0.0000 4.3129
4.3129 4.3129 0.0000
O Zr Sr Ce
6 1 2 1
Direct
0.7434 0.2566 0.2566
0.7434 0.7434 0.2566
0.7434 0.2566 0.7434
0.2566 0.7434 0.7434
0.2566 0.2566 0.7434
0.2566 0.7434 0.2566
0.5000 0.5000 0.5000
0.7500 0.7500 0.7500
0.2500 0.2500 0.2500
0.0000 0.0000 0.0000
```

Properties
Offset from the most stable computed form ... 109 meV/atom
Crystal system ... cubic

=====

# 12
Computed, not measured: an optimized crystal structure of RbTh2Br8 at the GGA-PBE level of DFT.

Cell and atoms, written as POSCAR:
```
RbTh2Br8
1.0
8.6168 0.5107 0.3875
0.7912 8.6380 1.6650
0.7912 3.9294 7.8706
Th Br Rb
2 8 1
Direct
0.3333 0.2287 0.2287
0.6667 0.7713 0.7713
0.7968 0.1105 0.6109
0.3452 0.8317 0.8317
0.7852 0.5980 0.5980
0.2032 0.8895 0.3891
0.2148 0.4020 0.4020
0.2032 0.3891 0.8895
0.6548 0.1683 0.1683
0.7968 0.6109 0.1105
0.0000 0.0000 0.0000
```

Properties
Offset from the most stable computed form ... 134 meV/atom
Crystal system ... monoclinic

=====

# 13
Computed, not measured: an optimized crystal structure of SmMnAlC at the GGA-PBE level of DFT.

Cell and atoms, written as POSCAR:
```
SmMnAlC
1.0
-1.5600 -2.2987 -1.7723
2.3169 -2.4584 1.1492
-4.3390 0.1779 3.5885
C Sm Mn Al
1 1 1 1
Direct
0.0000 0.6342 0.2684
0.5000 0.2609 0.5217
0.5000 0.5447 0.0895
0.0000 0.9906 0.9811
```

Properties
Formation enthalpy at 0 K ... 13 meV per atom
Crystal system ... orthorhombic

=====

# 14
Computed, not measured: an optimized crystal structure of ZnInH6Ru2 at the GGA-PBE level of DFT.

Cell and atoms, written as POSCAR:
```
ZnInH6Ru2
1.0
6.6844 -0.5283 0.2076
-1.3426 6.5695 0.2076
-1.1791 -1.3335 4.2968
In Zn H Ru
2 2 12 4
Direct
0.8874 0.1126 0.7500
0.1126 0.8874 0.2500
0.7005 0.2995 0.2500
0.2995 0.7005 0.7500
0.3047 0.2949 0.1907
0.2949 0.3047 0.6907
0.6953 0.7051 0.8093
0.6693 0.4918 0.5624
0.4636 0.0669 0.6429
0.9331 0.5364 0.8571
0.5082 0.3307 0.9376
0.0669 0.4636 0.1429
0.7051 0.6953 0.3093
0.3307 0.5082 0.4376
0.4918 0.6693 0.0624
0.5364 0.9331 0.3571
0.1004 0.3129 0.3622
0.6871 0.8996 0.1378
0.8996 0.6871 0.6378
0.3129 0.1004 0.8622
```

Properties
Crystal system ... monoclinic

=====

# 15
Computed, not measured: an optimized crystal structure of Al4Br at the GGA-PBE level of DFT.

Cell and atoms, written as POSCAR:
```
Al4Br
1.0
0.6266 -5.1286 0.0177
-0.6529 2.9115 4.2181
-4.5224 0.5533 -2.4367
Al Br
4 1
Direct
0.7974 0.4317 0.2291
0.5683 0.7974 0.3657
0.4317 0.2026 0.6343
0.2026 0.5683 0.7709
0.0000 0.0000 0.0000
```

Properties
Offset from the most stable computed form ... 102 meV/atom
Crystal system ... tetragonal

=====

# 16
Computed, not measured: an optimized crystal structure of Tl2ZnBi2 at the GGA-PBE level of DFT.

Cell and atoms, written as POSCAR:
```
Tl2ZnBi2
1.0
-7.0356 2.6620 -0.5678
0.1396 -1.2186 -7.4434
-2.0299 -5.1917 0.8119
Zn Tl Bi
2 4 4
Direct
0.0000 0.0000 0.0000
0.5000 0.5000 0.0000
0.3337 0.1663 0.5000
0.8337 0.3337 0.5000
0.6663 0.8337 0.5000
0.1663 0.6663 0.5000
0.6471 0.1471 0.0000
0.3529 0.8529 0.0000
0.8529 0.6471 0.0000
0.1471 0.3529 0.0000
```

Properties
Offset from the most stable computed form ... 0 meV/atom
Formation enthalpy at 0 K ... 69 meV per atom
Crystal system ... tetragonal

=====

# 17
Computed, not measured: an optimized crystal structure of Pm8Bi4Te3Pb at the GGA-PBE level of DFT.

Cell and atoms, written as POSCAR:
```
Pm8Bi4Te3Pb
1.0
9.0779 0.0001 -0.0001
0.0001 9.0705 -0.0108
-4.5391 -4.5352 6.4219
Pm Bi Te Pb
8 4 3 1
Direct
0.2479 0.7488 0.4958
0.2479 0.7488 0.0008
0.7521 0.2512 0.9992
0.7521 0.2512 0.5042
0.7529 0.7488 0.0008
0.7511 0.7533 0.5022
0.2471 0.2512 0.9992
0.2489 0.2467 0.4978
0.5000 0.0000 0.5000
0.0000 0.0000 0.0000
0.0000 0.0000 0.5000
0.5000 0.0000 0.0000
0.5000 0.5000 0.5000
0.0000 0.5000 0.5000
0.5000 0.5000 0.0000
0.0000 0.5000 0.0000
```

Properties
Crystal system ... trigonal

=====

# 18
Computed, not measured: an optimized crystal structure of AlFeCuW at the GGA-PBE level of DFT.

Cell and atoms, written as POSCAR:
```
AlFeCuW
1.0
4.1952 0.0000 0.0000
2.0976 3.6332 0.0000
2.0976 1.2111 3.4254
Cu Al Fe W
1 1 1 1
Direct
0.7500 0.7500 0.7500
0.5000 0.5000 0.5000
0.2500 0.2500 0.2500
0.0000 0.0000 0.0000
```

Properties
Formation enthalpy at 0 K ... -16 meV per atom
Crystal system ... cubic

=====

# 19
Computed, not measured: an optimized crystal structure of Ca3TaBe at the GGA-PBE level of DFT.

Cell and atoms, written as POSCAR:
```
Ca3TaBe
1.0
-3.5303 -0.1246 -4.3160
-3.2074 -3.6568 2.7291
-2.8908 4.2095 2.2430
Ca Ta Be
3 1 1
Direct
0.0000 0.5000 0.0000
0.5000 0.0000 0.0000
0.0000 0.0000 0.5000
0.0000 0.0000 0.0000
0.5000 0.5000 0.5000
```

Properties
Offset from the most stable computed form ... 374 meV/atom
Formation enthalpy at 0 K ... 1463 meV per atom
Crystal system ... cubic

=====

# 20
Computed, not measured: an optimized crystal structure of TaAg3Se4 at the GGA-PBE level of DFT.

Cell and atoms, written as POSCAR:
```
TaAg3Se4
1.0
7.1406 0.0000 0.0000
0.0000 7.3491 0.0000
0.0000 0.0000 8.3698
Se Ag Ta
8 6 2
Direct
0.6686 0.1771 0.0000
0.1686 0.8229 0.5000
0.6186 0.6675 0.2604
0.1186 0.3325 0.2396
0.1255 0.8662 0.0000
0.6255 0.1338 0.5000
0.6186 0.6675 0.7396
0.1186 0.3325 0.7604
0.4891 0.3236 0.7470
0.4984 0.8498 0.0000
0.9984 0.1502 0.5000
0.9891 0.6764 0.7530
0.4891 0.3236 0.2530
0.9891 0.6764 0.2470
0.5075 0.8235 0.5000
0.0075 0.1765 0.0000
```

Properties
Offset from the most stable computed form ... 0 meV/atom
Crystal system ... orthorhombic

=====

| no. | calculated total energy (Ry per atom) |
| --- | --- |
| 1 | -0.1886 |
| 2 | -0.4976 |
| 3 | -0.4231 |
| 4 | -0.5295 |
| 5 | -0.4587 |
| 6 | -0.2675 |
| 7 | -0.3206 |
| 8 | -0.2652 |
| 9 | -0.5927 |
| 10 | -0.3401 |
| 11 | -0.5777 |
| 12 | -0.3053 |
| 13 | -0.4925 |
| 14 | -0.3092 |
| 15 | -0.2261 |
| 16 | -0.1974 |
| 17 | -0.3873 |
| 18 | -0.5387 |
| 19 | -0.2097 |
| 20 | -0.3403 |